## Na2VCrF6 (PBE+U)

Data for crystalline Na2VCrF6 at its relaxed geometry.

Cell lengths 5.483, 5.692, 9.965 Å; angles 90.00, 122.41, 90.00 degrees
Space group P2_1/c (No. 14)
Symmetry-distinct sites (fractional):
Na  0.225  0.054  0.245
V  0.500  0.000  0.000
Cr  0.000  0.000  0.500
F  0.130  0.206  0.939
F  0.223  0.700  0.928
F  0.389  0.062  0.765

**DFT total energy**: -5.56 eV per atom